1.
Compound: LaMn2Tc
Source: Alexandria
Functional: GGA-PBE
Structure: relaxed

a = 4.5912 Å, b = 4.5912 Å, c = 4.5912 Å
α = 60.00°, β = 60.00°, γ = 60.00°
Element x y z (fractional)
1 La 0.0000 0.0000 0.0000
2 Mn 0.2500 0.2500 0.2500
3 Mn 0.7500 0.7500 0.7500
4 Tc 0.5000 0.5000 0.5000

D(E_F) (states/eV per atom): 1.388
Size of the total moment (μB per cell): 4.33
ρ (g/cm3): 8.415
Formation energy (eV per atom): 0.57
Space group: Fm-3m (225)

***

2.
Compound: RuWCl2
Source: Alexandria
Functional: GGA-PBE
Structure: relaxed

a = 6.4420 Å, b = 6.4420 Å, c = 6.4420 Å
α = 130.30°, β = 130.30°, γ = 72.93°
Element x y z (fractional)
1 Ru 0.0000 0.0000 0.0000
2 Ru 0.7500 0.2500 0.5000
3 W 0.2500 0.7500 0.5000
4 W 0.5000 0.5000 0.0000
5 Cl 0.1271 0.6250 0.0021
6 Cl 0.3750 0.3771 0.5021
7 Cl 0.6229 0.1250 0.9979
8 Cl 0.8750 0.8729 0.4979

D(E_F) (states/eV per atom): 0.499
Size of the total moment (μB per cell): 0.00
ρ (g/cm3): 7.780
Energy relative to the elements, uncorrected (kcal/mol of atoms): 27.1
Space group: I-42d (122)

***

3.
Compound: Tl2ZnIr
Source: Alexandria
Functional: GGA-PBE
Structure: relaxed

a = 5.2882 Å, b = 5.2882 Å, c = 5.2882 Å
α = 132.52°, β = 132.52°, γ = 69.42°
Element x y z (fractional)
1 Tl 0.0000 0.0000 0.0000
2 Tl 0.7500 0.2500 0.5000
3 Zn 0.2500 0.7500 0.5000
4 Ir 0.5000 0.5000 0.0000

D(E_F) (states/eV per atom): 0.370
Size of the total moment (μB per cell): 0.00
ρ (g/cm3): 14.038
Formation energy (eV per atom): 0.45
Space group: I-4m2 (119)

***

4.
Compound: Dy4Bi3H
Source: Alexandria
Functional: GGA-PBE
Structure: relaxed

a = 9.7718 Å, b = 8.3784 Å, c = 6.3032 Å
α = 90.00°, β = 90.00°, γ = 90.00°
Element x y z (fractional)
1 Dy 0.0000 0.0924 0.0000
2 Dy 0.0000 0.8310 0.4848
3 Dy 0.1945 0.7108 0.9997
4 Dy 0.3055 0.2892 0.4997
5 Dy 0.5000 0.1690 0.9848
6 Dy 0.5000 0.9076 0.5000
7 Dy 0.6945 0.2892 0.4997
8 Dy 0.8055 0.7108 0.9997
9 Bi 0.0000 0.1917 0.5033
10 Bi 0.2313 0.3450 0.0022
11 Bi 0.2687 0.6550 0.5022
12 Bi 0.5000 0.8083 0.0033
13 Bi 0.7313 0.6550 0.5022
14 Bi 0.7687 0.3450 0.0022
15 H 0.0000 0.8358 0.8467
16 H 0.5000 0.1642 0.3467

E (Ry per atom): -0.3347
D(E_F) (states/eV per atom): 0.530
Size of the total moment (μB per cell): 0.00
ρ (g/cm3): 8.224
Space group: Pmn2_1 (31)

***

5.
Compound: Sr2NiAgI
Source: Alexandria
Functional: GGA-PBE
Structure: relaxed

a = 6.1714 Å, b = 6.1714 Å, c = 5.2733 Å
α = 90.00°, β = 90.00°, γ = 90.00°
Element x y z (fractional)
1 Sr 0.0000 0.5000 0.0000
2 Sr 0.5000 0.0000 0.0000
3 Ni 0.0000 0.0000 0.5000
4 Ag 0.5000 0.5000 0.5000
5 I 0.5000 0.5000 0.0000

D(E_F) (states/eV per atom): 1.471
Size of the total moment (μB per cell): 0.00
ρ (g/cm3): 3.875
Energy relative to the elements, uncorrected (kcal/mol of atoms): 11.3
Space group: P4/mmm (123)

***

6.
Compound: Cs3Cd8Pb
Source: Alexandria
Functional: GGA-PBE
Structure: relaxed

a = 11.5992 Å, b = 11.5992 Å, c = 11.5992 Å
α = 32.52°, β = 32.52°, γ = 32.52°
Element x y z (fractional)
1 Cs 0.0000 0.0000 0.0000
2 Cs 0.1262 0.1262 0.1262
3 Cs 0.6230 0.6230 0.6230
4 Cd 0.0582 0.0582 0.5550
5 Cd 0.0582 0.5550 0.0582
6 Cd 0.0789 0.5619 0.5619
7 Cd 0.3128 0.3128 0.3128
8 Cd 0.5550 0.0582 0.0582
9 Cd 0.5619 0.0789 0.5619
10 Cd 0.5619 0.5619 0.0789
11 Cd 0.8130 0.8130 0.8130
12 Pb 0.5050 0.5050 0.5050

D(E_F) (states/eV per atom): 0.523
Size of the total moment (μB per cell): 0.00
ρ (g/cm3): 6.232
Formation energy (eV per atom): 0.00
Space group: R3m (160)

***

7.
Compound: Th2NiAs4Rh3
Source: Alexandria
Functional: GGA-PBE
Structure: relaxed

a = 4.3574 Å, b = 4.3574 Å, c = 9.6587 Å
α = 90.00°, β = 90.00°, γ = 90.00°
Element x y z (fractional)
1 Th 0.0000 0.5000 0.2465
2 Th 0.5000 0.0000 0.7535
3 Ni 0.5000 0.5000 0.0000
4 As 0.0000 0.0000 0.5000
5 As 0.0000 0.5000 0.8728
6 As 0.5000 0.0000 0.1272
7 As 0.5000 0.5000 0.5000
8 Rh 0.0000 0.0000 0.0000
9 Rh 0.0000 0.5000 0.6197
10 Rh 0.5000 0.0000 0.3803

D(E_F) (states/eV per atom): 0.496
Size of the total moment (μB per cell): 0.00
ρ (g/cm3): 10.242
Formation energy (eV per atom): -0.90
Space group: P-4m2 (115)

***

8.
Compound: Ba2TbBi2O6
Source: Alexandria
Functional: GGA-PBE
Structure: relaxed

a = 6.4249 Å, b = 6.4249 Å, c = 7.1359 Å
α = 114.99°, β = 114.99°, γ = 61.06°
Element x y z (fractional)
1 Ba 0.2082 0.2082 0.1359
2 Ba 0.7918 0.7918 0.8641
3 Tb 0.0000 0.0000 0.5000
4 Bi 0.4346 0.4346 0.7347
5 Bi 0.5654 0.5654 0.2653
6 O 0.1650 0.6774 0.2225
7 O 0.2062 0.2062 0.5018
8 O 0.3226 0.8350 0.7775
9 O 0.6774 0.1650 0.2225
10 O 0.7938 0.7938 0.4982
11 O 0.8350 0.3226 0.7775

D(E_F) (states/eV per atom): 0.400
Size of the total moment (μB per cell): 0.29
ρ (g/cm3): 7.003
Energy relative to the elements, uncorrected (kcal/mol of atoms): -46.9
Space group: C2/m (12)

***

9.
Compound: TbMgCd5
Source: Alexandria
Functional: GGA-PBE
Structure: relaxed

a = 4.5023 Å, b = 4.5023 Å, c = 8.7715 Å
α = 90.00°, β = 90.00°, γ = 90.00°
Element x y z (fractional)
1 Tb 0.0000 0.0000 0.0000
2 Mg 0.5000 0.5000 0.5000
3 Cd 0.0000 0.5000 0.2718
4 Cd 0.0000 0.5000 0.7282
5 Cd 0.5000 0.0000 0.2718
6 Cd 0.5000 0.0000 0.7282
7 Cd 0.5000 0.5000 0.0000

D(E_F) (states/eV per atom): 0.556
Size of the total moment (μB per cell): 0.00
ρ (g/cm3): 6.960
Formation energy (eV per atom): -0.07
Space group: P4/mmm (123)

***

10.
Compound: Ac2Be4Si3Pd
Source: Alexandria
Functional: GGA-PBE
Structure: relaxed

a = 4.1449 Å, b = 4.1449 Å, c = 9.9639 Å
α = 90.00°, β = 90.00°, γ = 90.00°
Element x y z (fractional)
1 Ac 0.0000 0.5000 0.2434
2 Ac 0.5000 0.0000 0.7566
3 Be 0.0000 0.0000 0.0000
4 Be 0.0000 0.5000 0.6209
5 Be 0.5000 0.0000 0.3791
6 Be 0.5000 0.5000 0.0000
7 Si 0.0000 0.5000 0.8772
8 Si 0.5000 0.0000 0.1228
9 Si 0.5000 0.5000 0.5000
10 Pd 0.0000 0.0000 0.5000

D(E_F) (states/eV per atom): 0.481
Size of the total moment (μB per cell): 0.00
ρ (g/cm3): 6.603
Energy relative to the elements, uncorrected (kcal/mol of atoms): -8.7
Space group: P-4m2 (115)

***

11.
Compound: Mo2Ru
Source: Alexandria
Functional: GGA-PBE
Structure: relaxed

a = 5.3915 Å, b = 5.3915 Å, c = 6.5913 Å
α = 105.15°, β = 105.15°, γ = 29.85°
Element x y z (fractional)
1 Mo 0.1331 0.1331 0.0359
2 Mo 0.1829 0.1829 0.6315
3 Mo 0.8171 0.8171 0.3685
4 Mo 0.8669 0.8669 0.9641
5 Ru 0.4752 0.4752 0.6975
6 Ru 0.5248 0.5248 0.3025

D(E_F) (states/eV per atom): 1.036
Size of the total moment (μB per cell): 0.00
ρ (g/cm3): 10.595
Formation energy (eV per atom): 0.13
Space group: C2/m (12)

***

12.
Compound: ScMn3Hg
Source: Alexandria
Functional: GGA-PBE
Structure: relaxed

a = 4.9691 Å, b = 4.9691 Å, c = 4.9691 Å
α = 90.00°, β = 90.00°, γ = 90.00°
Element x y z (fractional)
1 Sc 0.0000 0.0000 0.0000
2 Mn 0.0000 0.5000 0.5000
3 Mn 0.5000 0.0000 0.5000
4 Mn 0.5000 0.5000 0.0000
5 Hg 0.5000 0.5000 0.5000

D(E_F) (states/eV per atom): 0.693
Size of the total moment (μB per cell): 11.87
ρ (g/cm3): 5.554
Formation energy (eV per atom): 1.06
Space group: Pm-3m (221)

***

13.
Compound: Pm2PrAgHg4
Source: Alexandria
Functional: GGA-PBE
Structure: relaxed

a = 9.5983 Å, b = 9.5983 Å, c = 9.5983 Å
α = 31.24°, β = 31.24°, γ = 31.24°
Element x y z (fractional)
1 Pm 0.2394 0.2394 0.2394
2 Pm 0.7606 0.7606 0.7606
3 Pr 0.0000 0.0000 0.0000
4 Ag 0.5000 0.5000 0.5000
5 Hg 0.1254 0.1254 0.1254
6 Hg 0.3777 0.3777 0.3777
7 Hg 0.6223 0.6223 0.6223
8 Hg 0.8746 0.8746 0.8746

D(E_F) (states/eV per atom): 0.927
Size of the total moment (μB per cell): 0.00
ρ (g/cm3): 10.548
Formation energy (eV per atom): -0.39
Space group: R-3m (166)

***

14.
Compound: Cu3W
Source: Alexandria
Functional: GGA-PBE
Structure: relaxed

a = 4.7627 Å, b = 4.7627 Å, c = 4.7627 Å
α = 90.00°, β = 90.00°, γ = 90.00°
Element x y z (fractional)
1 Cu 0.0000 0.2500 0.5000
2 Cu 0.0000 0.7500 0.5000
3 Cu 0.2500 0.5000 0.0000
4 Cu 0.5000 0.0000 0.2500
5 Cu 0.5000 0.0000 0.7500
6 Cu 0.7500 0.5000 0.0000
7 W 0.0000 0.0000 0.0000
8 W 0.5000 0.5000 0.5000

D(E_F) (states/eV per atom): 1.616
Size of the total moment (μB per cell): 0.00
ρ (g/cm3): 11.512
Formation energy (eV per atom): 0.69
Space group: Pm-3n (223)

***

15.
Compound: TiTlAsO2
Source: Alexandria
Functional: GGA-PBE
Structure: relaxed

a = 4.0461 Å, b = 4.0461 Å, c = 5.1095 Å
α = 90.00°, β = 90.00°, γ = 90.00°
Element x y z (fractional)
1 Ti 0.0000 0.0000 0.0000
2 Tl 0.5000 0.5000 0.0000
3 As 0.0000 0.0000 0.5000
4 O 0.0000 0.5000 0.5000
5 O 0.5000 0.0000 0.5000

D(E_F) (states/eV per atom): 1.183
Size of the total moment (μB per cell): 0.00
ρ (g/cm3): 7.130
Energy relative to the elements, uncorrected (kcal/mol of atoms): -1.6
Space group: P4/mmm (123)

***

16.
Compound: BaLa2Au
Source: Alexandria
Functional: GGA-PBE
Structure: relaxed

a = 4.2296 Å, b = 4.9631 Å, c = 7.0365 Å
α = 90.00°, β = 107.08°, γ = 90.00°
Element x y z (fractional)
1 Ba 0.0000 0.0000 0.0000
2 La 0.4041 0.5000 0.6986
3 La 0.5959 0.5000 0.3014
4 Au 0.0000 0.0000 0.5000

D(E_F) (states/eV per atom): 1.245
Size of the total moment (μB per cell): 0.00
ρ (g/cm3): 7.199
Formation energy (eV per atom): -0.19
Space group: P2/m (10)

***

17.
Compound: LiTa2Te
Source: Alexandria
Functional: GGA-PBE
Structure: relaxed

a = 9.8251 Å, b = 9.8251 Å, c = 9.8251 Å
α = 18.07°, β = 18.07°, γ = 18.07°
Element x y z (fractional)
1 Li 0.0000 0.0000 0.0000
2 Ta 0.2462 0.2462 0.2462
3 Ta 0.7538 0.7538 0.7538
4 Te 0.5000 0.5000 0.5000

D(E_F) (states/eV per atom): 1.642
Size of the total moment (μB per cell): 0.00
ρ (g/cm3): 10.351
Energy relative to the elements, uncorrected (kcal/mol of atoms): 13.4
Space group: R-3m (166)

***

18.
Compound: Pm5NdCu4
Source: Alexandria
Functional: GGA-PBE
Structure: relaxed

a = 3.5740 Å, b = 3.5740 Å, c = 19.6434 Å
α = 90.00°, β = 90.00°, γ = 90.00°
Element x y z (fractional)
1 Pm 0.0000 0.0000 0.0000
2 Pm 0.0000 0.0000 0.1822
3 Pm 0.0000 0.0000 0.3617
4 Pm 0.0000 0.0000 0.6383
5 Pm 0.0000 0.0000 0.8178
6 Nd 0.5000 0.5000 0.5000
7 Cu 0.5000 0.5000 0.0915
8 Cu 0.5000 0.5000 0.2716
9 Cu 0.5000 0.5000 0.7284
10 Cu 0.5000 0.5000 0.9085

D(E_F) (states/eV per atom): 0.788
Size of the total moment (μB per cell): 0.00
ρ (g/cm3): 7.435
Formation energy (eV per atom): -0.13
Space group: P4/mmm (123)

***

19.
Compound: Pr8HgTe4As3
Source: Alexandria
Functional: GGA-PBE
Structure: relaxed

a = 8.9375 Å, b = 8.9375 Å, c = 8.9375 Å
α = 59.30°, β = 59.30°, γ = 59.30°
Element x y z (fractional)
1 Pr 0.2363 0.7475 0.7475
2 Pr 0.2401 0.2401 0.2401
3 Pr 0.2525 0.2525 0.7637
4 Pr 0.2525 0.7638 0.2525
5 Pr 0.7475 0.2363 0.7475
6 Pr 0.7475 0.7475 0.2363
7 Pr 0.7599 0.7599 0.7599
8 Pr 0.7637 0.2525 0.2525
9 Hg 0.5000 0.5000 0.5000
10 Te 0.0000 0.0000 0.0000
11 Te 0.0000 0.5000 0.5000
12 Te 0.5000 0.0000 0.5000
13 Te 0.5000 0.5000 0.0000
14 As 0.0000 0.0000 0.5000
15 As 0.0000 0.5000 0.0000
16 As 0.5000 0.0000 0.0000

D(E_F) (states/eV per atom): 0.463
Size of the total moment (μB per cell): 0.00
ρ (g/cm3): 6.895
Energy relative to the elements, uncorrected (kcal/mol of atoms): -31.9
Space group: R-3m (166)

***

20.
Compound: Tl3SnHg
Source: Alexandria
Functional: GGA-PBE
Structure: relaxed

a = 9.0695 Å, b = 9.0695 Å, c = 6.7245 Å
α = 108.61°, β = 108.61°, γ = 34.45°
Element x y z (fractional)
1 Tl 0.0217 0.0217 0.2741
2 Tl 0.1887 0.1887 0.0438
3 Tl 0.3928 0.3928 0.3727
4 Tl 0.6072 0.6072 0.6273
5 Tl 0.8113 0.8113 0.9562
6 Tl 0.9783 0.9783 0.7259
7 Sn 0.2259 0.2259 0.5854
8 Sn 0.7741 0.7741 0.4146
9 Hg 0.4075 0.4075 0.8935
10 Hg 0.5925 0.5925 0.1065

D(E_F) (states/eV per atom): 0.418
Size of the total moment (μB per cell): 0.00
ρ (g/cm3): 10.501
Formation energy (eV per atom): 0.01
Space group: C2/m (12)

***

21.
Compound: Li2ReNi
Source: Alexandria
Functional: GGA-PBE
Structure: relaxed

a = 5.2114 Å, b = 5.2114 Å, c = 5.2114 Å
α = 102.02°, β = 102.02°, γ = 125.69°
Element x y z (fractional)
1 Li 0.0979 0.1250 0.4729
2 Li 0.3750 0.9021 0.0271
3 Li 0.6521 0.6250 0.5271
4 Li 0.8750 0.3479 0.9729
5 Re 0.2500 0.7500 0.5000
6 Re 0.5000 0.5000 0.0000
7 Ni 0.0000 0.0000 0.0000
8 Ni 0.7500 0.2500 0.5000

D(E_F) (states/eV per atom): 0.715
Size of the total moment (μB per cell): 0.00
ρ (g/cm3): 8.403
Formation energy (eV per atom): 0.79
Space group: I-42d (122)

***

22.
Compound: HoSn2P2Pd7
Source: Alexandria
Functional: GGA-PBE
Structure: relaxed

a = 4.1156 Å, b = 4.1156 Å, c = 12.8121 Å
α = 96.36°, β = 96.36°, γ = 89.24°
Element x y z (fractional)
1 Ho 0.0000 0.0000 0.0000
2 Sn 0.1050 0.1050 0.3471
3 Sn 0.8950 0.8950 0.6529
4 P 0.4104 0.4104 0.7325
5 P 0.5896 0.5896 0.2675
6 Pd 0.0552 0.5564 0.1669
7 Pd 0.2939 0.2939 0.5487
8 Pd 0.4436 0.9448 0.8331
9 Pd 0.5000 0.5000 0.0000
10 Pd 0.5564 0.0552 0.1669
11 Pd 0.7061 0.7061 0.4513
12 Pd 0.9448 0.4436 0.8331

D(E_F) (states/eV per atom): 0.482
Size of the total moment (μB per cell): 0.00
ρ (g/cm3): 9.368
Formation energy (eV per atom): -0.51
Space group: C2/m (12)

***

23.
Compound: Er6Ge2SbS3
Source: Alexandria
Functional: GGA-PBE
Structure: relaxed

a = 9.0318 Å, b = 9.0318 Å, c = 8.0975 Å
α = 102.23°, β = 102.23°, γ = 25.99°
Element x y z (fractional)
1 Er 0.0023 0.0023 0.2665
2 Er 0.3272 0.3272 0.9072
3 Er 0.3316 0.3316 0.4179
4 Er 0.6684 0.6684 0.5821
5 Er 0.6728 0.6728 0.0928
6 Er 0.9977 0.9977 0.7335
7 Ge 0.1667 0.1667 0.3343
8 Ge 0.8333 0.8333 0.6657
9 Sb 0.5000 0.5000 0.0000
10 S 0.1652 0.1652 0.8335
11 S 0.5000 0.5000 0.5000
12 S 0.8348 0.8348 0.1665

D(E_F) (states/eV per atom): 0.172
Size of the total moment (μB per cell): 0.00
ρ (g/cm3): 8.033
Energy relative to the elements, uncorrected (kcal/mol of atoms): -33.5
Space group: C2/m (12)

***

24.
Compound: InCS3
Source: Alexandria
Functional: GGA-PBE
Structure: relaxed

a = 5.0673 Å, b = 5.0673 Å, c = 5.0673 Å
α = 90.00°, β = 90.00°, γ = 90.00°
Element x y z (fractional)
1 In 0.0000 0.0000 0.0000
2 C 0.5000 0.5000 0.5000
3 S 0.0000 0.0000 0.5000
4 S 0.0000 0.5000 0.0000
5 S 0.5000 0.0000 0.0000

D(E_F) (states/eV per atom): 1.151
Size of the total moment (μB per cell): 1.00
ρ (g/cm3): 2.846
Energy relative to the elements, uncorrected (kcal/mol of atoms): 44.7
Space group: Pm-3m (221)